VASP calculation (PBE-GGA) on a relaxed PmTmGa crystal.

Output
Excess energy over the best structure of this formula in the dataset   21 meV per atom
Energy of formation from the pure elements   -37 kJ/mol of atoms

Geometry as POSCAR:
```
PmTmGa
1.0
3.676 0.000 0.000
0.000 5.260 0.000
-1.837 -0.005 8.234
Pm Tm Ga
2 2 2
direct
0.077 0.249 0.153
0.923 0.751 0.847
0.224 0.751 0.447
0.776 0.249 0.553
0.418 0.251 0.837
0.582 0.749 0.163
```